1.
Crystalline NdEr2Ru at its relaxed geometry, computed with PBE.

Lattice parameters (Å, degrees): 3.8988 12.1569 9.1137 90.00 90.00 90.00
Last column: nearest neighbours and their distance in Å.
Space group Cmcm (No. 63)
Unique sites:
Nd  0.0000  0.0728  0.2500 [4 per cell]  2 Ru 2.86
Er  0.0000  0.3535  0.0690 [8 per cell]  3 Ru 2.87-3.14
Ru  0.0000  0.2551  0.7500 [4 per cell]  2 Nd 2.86, 6 Er 2.87-3.14

Properties
For the formation enthalpy at 0 K, the calculation gives -0.284 eV/atom. The calculation puts the polymorph energy (0 for the lowest one) at 0.012 eV/atom.

---

2.
Crystalline LiPrPuRh at its relaxed geometry, computed with PBE.

Lattice parameters (Å, degrees): 7.1136 7.1136 7.1136 90.00 90.00 90.00
Last column: nearest neighbours and their distance in Å.
Space group F-43m (No. 216)
Unique sites:
Li  0.0000  0.0000  0.0000 [4 per cell]  4 Pr 3.08, 4 Pu 3.08
Pr  0.2500  0.2500  0.2500 [4 per cell]  4 Rh 3.08, 4 Li 3.08
Pu  0.2500  0.2500  0.7500 [4 per cell]  4 Li 3.08, 4 Rh 3.08
Rh  0.0000  0.0000  0.5000 [4 per cell]  4 Pu 3.08, 4 Pr 3.08

Properties
For the formation enthalpy at 0 K, the calculation gives -0.187 eV/atom.

---

3.
Crystalline Na3Fe4HgI12 at its relaxed geometry, computed with PBE.

Lattice parameters (Å, degrees): 16.3403 16.3403 12.4412 90.00 90.00 120.00
Last column: nearest neighbours and their distance in Å.
Space group R32 (No. 155, hexagonal axes)
Unique sites:
Na  0.0000  0.5514  0.0000 [9 per cell]  6 I 3.19-3.38
Fe  0.0000  0.0000  0.5000 [3 per cell]  3 I 2.54
Fe  0.0000  0.4395  0.5000 [9 per cell]  3 I 2.51-2.55
Hg  0.0000  0.0000  0.0000 [3 per cell]  6 I 3.95
I  0.0000  0.5954  0.5000 [9 per cell]  1 Fe 2.55
I  0.0000  0.8449  0.5000 [9 per cell]  1 Fe 2.54
I  0.0444  0.2211  0.1732 [18 per cell]  1 Fe 2.51

Properties
For the uncorrected formation energy, the calculation gives -0.35 eV/atom.

---

4.
Crystalline AcPmCd17 at its relaxed geometry, computed with PBE.

Lattice parameters (Å, degrees): 10.1717 10.1717 15.0515 90.00 90.00 120.00
Last column: nearest neighbours and their distance in Å.
Space group R3m (No. 160, hexagonal axes)
Unique sites:
Ac  0.0000  0.0000  0.0000 [3 per cell]  19 Cd 3.61-3.96
Pm  0.0000  0.0000  0.6637 [3 per cell]  13 Cd 3.38-3.57
Cd  0.0000  0.0000  0.2399 [3 per cell]  10 Cd 3.00-3.35
Cd  0.0000  0.0000  0.4393 [3 per cell]  7 Cd 3.00-3.21
Cd  0.0031  0.2996  0.3342 [18 per cell]  8 Cd 2.94-3.23
Cd  0.0079  0.5039  0.1887 [9 per cell]  9 Cd 2.89-3.20
Cd  0.0177  0.5089  0.8307 [9 per cell]  10 Cd 2.94-3.21
Cd  0.0362  0.5181  0.4836 [9 per cell]  8 Cd 2.89-3.23

Properties
For the formation enthalpy at 0 K, the calculation gives -0.169 eV/atom.

---

Number 1: total energy -6.077 eV/atom, total magnetization 0.00 μB per cell. Number 2: total energy -7.282 eV/atom, total magnetization 24.24 μB per cell. Number 3: total energy -3.182 eV/atom, total magnetization 51.05 μB per cell. Number 4: total energy -1.454 eV/atom, total magnetization 0.00 μB per cell.